[1]
This record from Alexandria describes a relaxed LaTaSb crystal. The functional is GGA-PBE.

Calculated values
- Space-group type: No. 187
- Total DFT energy (no corrections): -20.734 eV/cell

a b c (Å): 4.832 4.832 4.011
angles (deg): 90.00 90.00 120.00
Site moments in Bohr magnetons follow the coordinates.
Fractional positions:
La (0.000, 0.000, 0.000)  0.07
Sb (0.667, 0.333, 0.500)  -0.01
Ta (0.333, 0.667, 0.500)  0.36



[2]
This record from Alexandria describes a relaxed SrZnGePt3 crystal. The functional is GGA-PBE.

Calculated values
- Space-group type: No. 63
- Energy of formation from the pure elements: -3.35 eV/f.u.
- Total DFT energy (no corrections): -58.085 eV/cell

a b c (Å): 5.775 7.064 7.062
angles (deg): 120.01 90.00 90.00
Fractional positions:
Sr (0.750, 0.281, 0.562)
Sr (0.250, 0.719, 0.438)
Zn (0.250, 0.979, 0.957)
Zn (0.750, 0.021, 0.043)
Ge (0.250, 0.383, 0.765)
Ge (0.750, 0.617, 0.235)
Pt (0.250, 0.188, 0.375)
Pt (0.000, 0.292, 0.000)
Pt (0.500, 0.708, 0.000)
Pt (0.500, 0.292, 0.000)
Pt (0.000, 0.708, 0.000)
Pt (0.750, 0.812, 0.625)



[3]
This record from Alexandria describes a relaxed Dy4GaCu2Ag crystal. The functional is GGA-PBE.

Calculated values
- Space-group type: No. 166
- Energy of formation from the pure elements: -2.73 eV/f.u.
- Total DFT energy (no corrections): -35.211 eV/cell

a b c (Å): 5.004 5.004 8.710
angles (deg): 73.31 73.31 60.00
Fractional positions:
Dy (0.374, 0.374, 0.877)
Dy (0.876, 0.876, 0.372)
Dy (0.124, 0.124, 0.628)
Dy (0.626, 0.626, 0.123)
Ga (0.000, 0.000, 0.000)
Cu (0.748, 0.748, 0.755)
Cu (0.252, 0.252, 0.245)
Ag (0.500, 0.500, 0.500)



[4]
This record from Alexandria describes a relaxed In2Sn2Te crystal. The functional is GGA-PBE.

Calculated values
- Space-group type: No. 127
- Total DFT energy (no corrections): -32.466 eV/cell

a b c (Å): 8.446 8.446 4.107
angles (deg): 90.00 90.00 90.00
Fractional positions:
Te (0.000, 0.000, 0.000)
Te (0.500, 0.500, 0.000)
Sn (0.128, 0.628, 0.500)
Sn (0.628, 0.872, 0.500)
Sn (0.872, 0.372, 0.500)
Sn (0.372, 0.128, 0.500)
In (0.332, 0.832, 0.000)
In (0.832, 0.668, 0.000)
In (0.668, 0.168, 0.000)
In (0.168, 0.332, 0.000)



Please write out number 4 again, unchanged.
This record from Alexandria describes a relaxed In2Sn2Te crystal. The functional is GGA-PBE.

Calculated values
- Space-group type: No. 127
- Total DFT energy (no corrections): -32.466 eV/cell

a b c (Å): 8.446 8.446 4.107
angles (deg): 90.00 90.00 90.00
Fractional positions:
Te (0.000, 0.000, 0.000)
Te (0.500, 0.500, 0.000)
Sn (0.128, 0.628, 0.500)
Sn (0.628, 0.872, 0.500)
Sn (0.872, 0.372, 0.500)
Sn (0.372, 0.128, 0.500)
In (0.332, 0.832, 0.000)
In (0.832, 0.668, 0.000)
In (0.668, 0.168, 0.000)
In (0.168, 0.332, 0.000)



Question: total DFT energy (no corrections) of number 3 (Dy4GaCu2Ag)?
Answer: -35.211 eV/cell



What did the fourth record say?
This record from Alexandria describes a relaxed In2Sn2Te crystal. The functional is GGA-PBE.

Calculated values
- Space-group type: No. 127
- Total DFT energy (no corrections): -32.466 eV/cell

a b c (Å): 8.446 8.446 4.107
angles (deg): 90.00 90.00 90.00
Fractional positions:
Te (0.000, 0.000, 0.000)
Te (0.500, 0.500, 0.000)
Sn (0.128, 0.628, 0.500)
Sn (0.628, 0.872, 0.500)
Sn (0.872, 0.372, 0.500)
Sn (0.372, 0.128, 0.500)
In (0.332, 0.832, 0.000)
In (0.832, 0.668, 0.000)
In (0.668, 0.168, 0.000)
In (0.168, 0.332, 0.000)